Entry 1:
Cu2Ni3 | PBE-GGA | optimized geometry

- Space-group type: R-3m, No. 166

abc: 10.403 10.403 10.403
angles: 13.85 13.85 13.85
Sites, in units of the cell vectors:
Cu 0.100 0.100 0.100
Cu 0.900 0.900 0.900
Ni 0.301 0.301 0.301
Ni 0.500 0.500 0.500
Ni 0.699 0.699 0.699

***

Entry 2:
Cu7Ni5 | PBE-GGA | optimized geometry

- Space-group type: Cmmm, No. 65

abc: 8.002 8.002 3.563
angles: 90.00 90.00 143.11
Sites, in units of the cell vectors:
Cu 0.000 0.000 0.000
Cu 0.168 0.832 0.000
Cu 0.169 0.337 0.500
Cu 0.337 0.169 0.500
Cu 0.663 0.831 0.500
Cu 0.831 0.663 0.500
Cu 0.832 0.168 0.000
Ni 0.000 0.500 0.500
Ni 0.332 0.668 0.000
Ni 0.500 0.000 0.500
Ni 0.500 0.500 0.000
Ni 0.668 0.332 0.000

***

Entry 3:
CuNi5 | PBE-GGA | optimized geometry

- Space-group type: P4/mmm, No. 123

abc: 2.492 2.492 10.643
angles: 90.00 90.00 90.00
Sites, in units of the cell vectors:
Cu 0.000 0.000 0.000
Ni 0.000 0.000 0.335
Ni 0.000 0.000 0.665
Ni 0.500 0.500 0.172
Ni 0.500 0.500 0.500
Ni 0.500 0.500 0.828

***

Number 1: relative energy among the computed polymorphs 6.9 meV per atom, DFT formation energy 0.0172 eV/atom. Number 2: relative energy among the computed polymorphs 0.0 meV per atom, DFT formation energy 0.0186 eV/atom. Number 3: relative energy among the computed polymorphs 0.0 meV per atom, DFT formation energy 0.0166 eV/atom.